Entry 1:
VASP calculation (PBE) on a geometry-optimized Cs2ErB2Se6 structure.

abc: 7.1062 7.1034 9.2188
angles: 112.77 90.00 120.01
Sites, in units of the cell vectors:
Cs (0.7116, 0.4232, 0.1338)
Cs (0.2884, 0.5768, 0.8662)
Er (0.5000, 0.0000, 0.5000)
B (0.9010, 0.8020, 0.7043)
B (0.0990, 0.1980, 0.2957)
Se (0.7499, 0.4998, 0.7266)
Se (0.2508, 0.0258, 0.2751)
Se (0.2250, 0.9742, 0.7249)
Se (0.7492, 0.9742, 0.7249)
Se (0.7750, 0.0258, 0.2751)
Se (0.2501, 0.5002, 0.2734)

Output
V = 360.5 Å³/cell
energy relative to the elements, uncorrected = -822 kJ/mol of formula units


Entry 2:
VASP calculation (PBE) on a geometry-optimized CsBF3 structure.

abc: 4.1206 4.1206 4.1206
angles: 90.00 90.00 90.00
Sites, in units of the cell vectors:
Cs (0.5000, 0.5000, 0.5000)
B (0.0000, 0.0000, 0.0000)
F (0.0000, 0.5000, 0.0000)
F (0.0000, 0.0000, 0.5000)
F (0.5000, 0.0000, 0.0000)

Output
V = 70.0 Å³/cell
energy relative to the elements, uncorrected = -651 kJ/mol of formula units


Entry 3:
VASP calculation (PBE) on a geometry-optimized CsBF3 structure.

abc: 4.8796 4.8796 4.8796
angles: 90.00 90.00 90.00
Sites, in units of the cell vectors:
Cs (0.0000, 0.0000, 0.0000)
B (0.5000, 0.5000, 0.5000)
F (0.0000, 0.5000, 0.0000)
F (0.0000, 0.0000, 0.5000)
F (0.5000, 0.0000, 0.0000)

Output
V = 116.2 Å³/cell
energy relative to the elements, uncorrected = -38 kJ/mol of formula units


Entry 4:
VASP calculation (PBE) on a geometry-optimized CsB2F6 structure.

abc: 6.2370 7.7119 7.7119
angles: 89.27 72.60 72.60
Sites, in units of the cell vectors:
Cs (0.2500, 0.2081, 0.7919)
Cs (0.7500, 0.7919, 0.2081)
B (0.4406, 0.6744, 0.7887)
B (0.0594, 0.2113, 0.3256)
B (0.5594, 0.3256, 0.2113)
B (0.9406, 0.7887, 0.6744)
F (0.4825, 0.7416, 0.6199)
F (0.0175, 0.3801, 0.2584)
F (0.5175, 0.2584, 0.3801)
F (0.9825, 0.6199, 0.7416)
F (0.0317, 0.7925, 0.4908)
F (0.4683, 0.5092, 0.2075)
F (0.9683, 0.2075, 0.5092)
F (0.5317, 0.4908, 0.7925)
F (0.4460, 0.7848, 0.9246)
F (0.0540, 0.0754, 0.2152)
F (0.5540, 0.2152, 0.0754)
F (0.9460, 0.9246, 0.7848)

Output
V = 336.6 Å³/cell
energy relative to the elements, uncorrected = -2152 kJ/mol of formula units


Entry 5:
VASP calculation (PBE) on a geometry-optimized Cs3BF6 structure.

abc: 7.0300 8.6646 8.6646
angles: 97.68 90.00 90.00
Sites, in units of the cell vectors:
Cs (0.4951, 0.9087, 0.6818)
Cs (0.9951, 0.6818, 0.9087)
Cs (0.4866, 0.4039, 0.5961)
Cs (0.9866, 0.5961, 0.4039)
Cs (0.9951, 0.0913, 0.3182)
Cs (0.4951, 0.3182, 0.0913)
B (0.0050, 0.1728, 0.8272)
B (0.5050, 0.8272, 0.1728)
F (0.2411, 0.6665, 0.6607)
F (0.7411, 0.6607, 0.6665)
F (0.0914, 0.3171, 0.8863)
F (0.5914, 0.8863, 0.3171)
F (0.0318, 0.0648, 0.9352)
F (0.8068, 0.1953, 0.8047)
F (0.3068, 0.8047, 0.1953)
F (0.5318, 0.9352, 0.0648)
F (0.0914, 0.1137, 0.6829)
F (0.5914, 0.6829, 0.1137)
F (0.2411, 0.3393, 0.3335)
F (0.7411, 0.3335, 0.3393)

Output
V = 523.0 Å³/cell
energy relative to the elements, uncorrected = -2752 kJ/mol of formula units


Entry 6:
VASP calculation (PBE) on a geometry-optimized CsBF3 structure.

abc: 5.8200 5.8200 6.2959
angles: 62.47 62.47 90.00
Sites, in units of the cell vectors:
Cs (0.7500, 0.2500, 0.5000)
Cs (0.2500, 0.7500, 0.5000)
B (0.5000, 0.5000, 0.0000)
B (0.0000, 0.0000, 0.0000)
F (0.1466, 0.1466, 0.7068)
F (0.8534, 0.8534, 0.2932)
F (0.2319, 0.2319, 0.0000)
F (0.7681, 0.7681, 0.0000)
F (0.7681, 0.2319, 0.0000)
F (0.2319, 0.7681, 0.0000)

Output
V = 161.4 Å³/cell
energy relative to the elements, uncorrected = -875 kJ/mol of formula units


Entry 7:
VASP calculation (PBE) on a geometry-optimized CsB3F12 structure.

abc: 8.4378 8.4378 9.3947
angles: 63.32 63.32 60.00
Sites, in units of the cell vectors:
Cs (0.0024, 0.0024, 0.9927)
Cs (0.5024, 0.5024, 0.4927)
B (0.5133, 0.4953, 0.9880)
B (0.0133, 0.5034, 0.4880)
B (0.9953, 0.0133, 0.4880)
B (0.4953, 0.0034, 0.9880)
B (0.0034, 0.5133, 0.9880)
B (0.5034, 0.9953, 0.4880)
F (0.3080, 0.0922, 0.0809)
F (0.9271, 0.3687, 0.6025)
F (0.0795, 0.9086, 0.3727)
F (0.7009, 0.4900, 0.8959)
F (0.2009, 0.4132, 0.3959)
F (0.5795, 0.1392, 0.8727)
F (0.4271, 0.6017, 0.1025)
F (0.9086, 0.6392, 0.3727)
F (0.8080, 0.0189, 0.5809)
F (0.1017, 0.9271, 0.6025)
F (0.9900, 0.2009, 0.3959)
F (0.0189, 0.5922, 0.5809)
F (0.1392, 0.4086, 0.8727)
F (0.5189, 0.3080, 0.0809)
F (0.4900, 0.9132, 0.8959)
F (0.6017, 0.8687, 0.1025)
F (0.8687, 0.4271, 0.1025)
F (0.4086, 0.5795, 0.8727)
F (0.5922, 0.8080, 0.5809)
F (0.9132, 0.7009, 0.8959)
F (0.4132, 0.9900, 0.3959)
F (0.0922, 0.5189, 0.0809)
F (0.3687, 0.1017, 0.6025)
F (0.6392, 0.0795, 0.3727)

Output
V = 495.3 Å³/cell
energy relative to the elements, uncorrected = -3825 kJ/mol of formula units


Entry 8:
VASP calculation (PBE) on a geometry-optimized CsBF4 structure.

abc: 6.8002 6.8002 6.8002
angles: 107.57 107.57 113.35
Sites, in units of the cell vectors:
Cs (0.0000, 0.0000, 0.0000)
Cs (0.7500, 0.2500, 0.5000)
B (0.2500, 0.7500, 0.5000)
B (0.5000, 0.5000, 0.0000)
F (0.2168, 0.8606, 0.3562)
F (0.5045, 0.8606, 0.6438)
F (0.6106, 0.7545, 0.1438)
F (0.5332, 0.3894, 0.1438)
F (0.6106, 0.4668, 0.8562)
F (0.1394, 0.4955, 0.3562)
F (0.2455, 0.3894, 0.8562)
F (0.1394, 0.7832, 0.6438)

Output
V = 241.2 Å³/cell
energy relative to the elements, uncorrected = -1738 kJ/mol of formula units


Entry 9:
VASP calculation (PBE) on a geometry-optimized Cs3B2F8 structure.

abc: 6.3824 6.3824 10.0357
angles: 71.46 71.46 60.00
Sites, in units of the cell vectors:
Cs (0.0000, 0.0000, 0.0000)
Cs (0.7736, 0.7736, 0.6793)
Cs (0.2264, 0.2264, 0.3207)
B (0.6141, 0.6141, 0.1578)
B (0.3859, 0.3859, 0.8422)
F (0.6650, 0.6650, 0.0051)
F (0.3350, 0.3350, 0.9949)
F (0.3549, 0.7186, 0.2079)
F (0.7186, 0.3549, 0.2079)
F (0.7186, 0.7186, 0.2079)
F (0.2814, 0.6451, 0.7921)
F (0.6451, 0.2814, 0.7921)
F (0.2814, 0.2814, 0.7921)

Output
V = 329.3 Å³/cell
energy relative to the elements, uncorrected = -3455 kJ/mol of formula units


Entry 10:
VASP calculation (PBE) on a geometry-optimized CsBF4 structure.

abc: 5.9143 7.7784 9.7782
angles: 90.00 90.00 90.00
Sites, in units of the cell vectors:
Cs (0.2500, 0.8388, 0.6905)
Cs (0.7500, 0.1612, 0.3095)
Cs (0.7500, 0.3388, 0.8095)
Cs (0.2500, 0.6612, 0.1905)
B (0.2500, 0.1996, 0.0529)
B (0.2500, 0.3004, 0.5529)
B (0.7500, 0.6996, 0.4471)
B (0.7500, 0.8004, 0.9471)
F (0.5539, 0.8032, 0.4274)
F (0.9461, 0.6968, 0.9274)
F (0.4461, 0.3032, 0.0726)
F (0.0539, 0.1968, 0.5726)
F (0.2500, 0.3667, 0.4183)
F (0.7500, 0.6333, 0.5817)
F (0.7500, 0.8667, 0.0817)
F (0.2500, 0.1333, 0.9183)
F (0.2500, 0.0643, 0.1501)
F (0.7500, 0.9357, 0.8499)
F (0.7500, 0.5643, 0.3499)
F (0.2500, 0.4357, 0.6501)
F (0.0539, 0.3032, 0.0726)
F (0.5539, 0.6968, 0.9274)
F (0.9461, 0.8032, 0.4274)
F (0.4461, 0.1968, 0.5726)

Output
V = 449.8 Å³/cell
energy relative to the elements, uncorrected = -1760 kJ/mol of formula units


Entry 11:
VASP calculation (PBE) on a geometry-optimized CsBF3 structure.

abc: 5.1397 5.9374 6.6267
angles: 63.40 87.23 89.97
Sites, in units of the cell vectors:
Cs (0.0411, 0.1020, 0.5917)
Cs (0.4434, 0.8020, 0.1909)
B (0.6772, 0.5190, 0.7582)
B (0.8076, 0.3854, 0.0239)
F (0.5165, 0.3440, 0.7145)
F (0.9683, 0.5604, 0.0677)
F (0.6089, 0.2908, 0.2130)
F (0.5171, 0.7381, 0.7153)
F (0.9677, 0.1664, 0.0668)
F (0.8758, 0.6137, 0.5691)

Output
V = 180.6 Å³/cell
energy relative to the elements, uncorrected = -1306 kJ/mol of formula units


Entry 12:
VASP calculation (PBE) on a geometry-optimized CsBF4 structure.

abc: 5.4091 5.4091 9.9908
angles: 77.87 77.87 62.36
Sites, in units of the cell vectors:
Cs (0.0000, 0.5000, 0.5000)
Cs (0.5000, 0.0000, 0.0000)
B (0.1917, 0.8083, 0.7500)
B (0.8083, 0.1917, 0.2500)
F (0.8341, 0.9221, 0.2398)
F (0.3764, 0.7058, 0.6299)
F (0.6236, 0.2942, 0.3701)
F (0.9221, 0.8341, 0.7398)
F (0.0779, 0.1659, 0.2602)
F (0.2942, 0.6236, 0.8701)
F (0.7058, 0.3764, 0.1299)
F (0.1659, 0.0779, 0.7602)

Output
V = 251.0 Å³/cell
energy relative to the elements, uncorrected = -1751 kJ/mol of formula units